Record 1
Entry from the Alexandria database: a relaxed structure of CaSm5Al4 (PBE).

Geometry as extended XYZ:
```
10
Lattice="3.660 0.000 0.000 0.000 3.660 0.000 0.000 0.000 20.595" Properties=species:S:1:pos:R:3 pbc="T T T"
Ca 0.000 0.000 0.000
Sm 1.830 1.830 2.892
Sm 1.830 1.830 6.590
Sm 1.830 1.830 10.297
Sm 1.830 1.830 14.005
Sm 1.830 1.830 17.703
Al 0.000 0.000 4.692
Al 0.000 0.000 8.443
Al 0.000 0.000 12.152
Al 0.000 0.000 15.902
```

Values from the calculation:
Density of states at the Fermi level, states/eV per atom: 0.58
ΔH_f (0 K), eV/atom: -0.279
Space-group type: No. 123

Record 2
Entry from the Alexandria database: a relaxed structure of HoTl2TcO6 (PBE).

Geometry as extended XYZ:
```
10
Lattice="6.456 0.000 0.000 -3.228 5.591 0.000 0.000 0.000 5.755" Properties=species:S:1:pos:R:3 pbc="T T T"
Ho 0.000 0.000 0.000
Tl 0.000 3.727 2.734
Tl 3.228 1.864 3.020
Tc 0.000 0.000 2.877
O 0.000 1.516 4.051
O -1.915 4.833 4.051
O 1.313 0.758 1.703
O 1.915 4.833 4.051
O 5.143 0.758 1.703
O 3.228 4.075 1.703
```

Values from the calculation:
Energy relative to the elements, uncorrected, kJ/mol of atoms: -147.9
Space-group type: No. 164